Entry 1:
# Sc2SnAs PBE-GGA relaxed
# energy = -6.2811 eV/atom
# energy of formation = -952 meV/atom
# spin magnetization = 0.000 μB/f.u.
# polymorph energy (0 for the lowest one) = 0.0 meV per atom
data_Sc2SnAs
_symmetry_space_group_name_H-M 'P 1'
_symmetry_Int_Tables_number 1
_symmetry_space_group_name_Hall 'P 1'
_cell_length_a 3.777
_cell_length_b 3.777
_cell_length_c 7.709
_cell_angle_alpha 75.82
_cell_angle_beta 75.82
_cell_angle_gamma 60.00
loop_
_atom_site_label
_atom_site_fract_x
_atom_site_fract_y
_atom_site_fract_z
_atom_site_occupancy
Sc1 0.263 0.263 0.211 1
Sc2 0.737 0.737 0.789 1
Sn1 0.500 0.500 0.500 1
As1 0.000 0.000 0.000 1

---

Entry 2:
# Sc2SnAs PBE-GGA relaxed
# energy = -6.2364 eV/atom
# energy of formation = -908 meV/atom
# spin magnetization = 0.000 μB/f.u.
# polymorph energy (0 for the lowest one) = 44.6 meV per atom
data_Sc2SnAs
_symmetry_space_group_name_H-M 'P 1'
_symmetry_Int_Tables_number 1
_symmetry_space_group_name_Hall 'P 1'
_cell_length_a 3.724
_cell_length_b 3.724
_cell_length_c 7.937
_cell_angle_alpha 76.43
_cell_angle_beta 76.43
_cell_angle_gamma 60.00
loop_
_atom_site_label
_atom_site_fract_x
_atom_site_fract_y
_atom_site_fract_z
_atom_site_occupancy
Sc1 0.068 0.068 0.795 1
Sc2 0.265 0.265 0.206 1
Sn1 0.499 0.499 0.502 1
As1 0.668 0.668 0.997 1

---

Entry 3:
# ScSnAs2 PBE-GGA relaxed
# energy = -5.4003 eV/atom
# energy of formation = -492 meV/atom
# spin magnetization = 0.000 μB/f.u.
data_ScSnAs2
_symmetry_space_group_name_H-M 'P 1'
_symmetry_Int_Tables_number 1
_symmetry_space_group_name_Hall 'P 1'
_cell_length_a 3.934
_cell_length_b 3.934
_cell_length_c 7.349
_cell_angle_alpha 74.48
_cell_angle_beta 74.48
_cell_angle_gamma 60.00
loop_
_atom_site_label
_atom_site_fract_x
_atom_site_fract_y
_atom_site_fract_z
_atom_site_occupancy
Sc1 0.667 0.667 0.000 1
Sn1 0.500 0.500 0.501 1
As1 0.075 0.075 0.775 1
As2 0.259 0.259 0.224 1

---

Entry 4:
# Sc2SnAs PBE-GGA relaxed
# energy = -5.8978 eV/atom
# energy of formation = -569 meV/atom
# spin magnetization = 0.000 μB/f.u.
# polymorph energy (0 for the lowest one) = 383.2 meV per atom
data_Sc2SnAs
_symmetry_space_group_name_H-M 'P 1'
_symmetry_Int_Tables_number 1
_symmetry_space_group_name_Hall 'P 1'
_cell_length_a 4.964
_cell_length_b 4.964
_cell_length_c 4.964
_cell_angle_alpha 60.00
_cell_angle_beta 60.00
_cell_angle_gamma 60.00
loop_
_atom_site_label
_atom_site_fract_x
_atom_site_fract_y
_atom_site_fract_z
_atom_site_occupancy
Sc1 0.250 0.250 0.250 1
Sc2 0.750 0.750 0.750 1
As1 0.000 0.000 0.000 1
Sn1 0.500 0.500 0.500 1

---

Entry 5:
# Sc3SnAs PBE-GGA relaxed
# energy = -6.1228 eV/atom
# energy of formation = -593 meV/atom
# spin magnetization = 0.000 μB/f.u.
# polymorph energy (0 for the lowest one) = 121.3 meV per atom
data_Sc3SnAs
_symmetry_space_group_name_H-M 'P 1'
_symmetry_Int_Tables_number 1
_symmetry_space_group_name_Hall 'P 1'
_cell_length_a 4.991
_cell_length_b 4.991
_cell_length_c 4.991
_cell_angle_alpha 90.00
_cell_angle_beta 90.00
_cell_angle_gamma 90.00
loop_
_atom_site_label
_atom_site_fract_x
_atom_site_fract_y
_atom_site_fract_z
_atom_site_occupancy
Sc1 0.000 0.500 0.000 1
Sc2 0.000 0.000 0.500 1
Sc3 0.500 0.000 0.000 1
As1 0.000 0.000 0.000 1
Sn1 0.500 0.500 0.500 1

---

Entry 6:
# ScSnAs2 PBE-GGA relaxed
# energy = -5.2963 eV/atom
# energy of formation = -388 meV/atom
# spin magnetization = 0.000 μB/f.u.
data_ScSnAs2
_symmetry_space_group_name_H-M 'P 1'
_symmetry_Int_Tables_number 1
_symmetry_space_group_name_Hall 'P 1'
_cell_length_a 6.212
_cell_length_b 6.212
_cell_length_c 7.675
_cell_angle_alpha 66.13
_cell_angle_beta 66.13
_cell_angle_gamma 90.00
loop_
_atom_site_label
_atom_site_fract_x
_atom_site_fract_y
_atom_site_fract_z
_atom_site_occupancy
Sc1 0.500 0.500 0.000 1
Sc2 0.250 0.750 0.500 1
As1 0.612 0.125 0.250 1
As2 0.138 0.625 0.250 1
As3 0.375 0.388 0.750 1
As4 0.875 0.862 0.750 1
Sn1 0.000 0.000 0.000 1
Sn2 0.750 0.250 0.500 1

---

Entry 7:
# Sc6Sn2As PBE-GGA relaxed
# energy = -6.3258 eV/atom
# energy of formation = -699 meV/atom
# spin magnetization = 0.014 μB/f.u.
data_Sc6Sn2As
_symmetry_space_group_name_H-M 'P 1'
_symmetry_Int_Tables_number 1
_symmetry_space_group_name_Hall 'P 1'
_cell_length_a 3.839
_cell_length_b 7.778
_cell_length_c 7.778
_cell_angle_alpha 120.00
_cell_angle_beta 90.00
_cell_angle_gamma 90.00
loop_
_atom_site_label
_atom_site_fract_x
_atom_site_fract_y
_atom_site_fract_z
_atom_site_occupancy
Sc1 0.500 0.610 0.000 1
Sc2 0.500 0.390 0.390 1
Sc3 0.500 0.000 0.610 1
Sc4 0.000 0.256 0.000 1
Sc5 0.000 0.744 0.744 1
Sc6 0.000 0.000 0.256 1
Sn1 0.000 0.333 0.667 1
Sn2 0.000 0.667 0.333 1
As1 0.500 0.000 0.000 1

---

Entry 8:
# Sc4SnAs PBE-GGA relaxed
# energy = -6.2226 eV/atom
# energy of formation = -560 meV/atom
# spin magnetization = 0.001 μB/f.u.
data_Sc4SnAs
_symmetry_space_group_name_H-M 'P 1'
_symmetry_Int_Tables_number 1
_symmetry_space_group_name_Hall 'P 1'
_cell_length_a 5.675
_cell_length_b 7.030
_cell_length_c 7.933
_cell_angle_alpha 104.32
_cell_angle_beta 110.95
_cell_angle_gamma 90.00
loop_
_atom_site_label
_atom_site_fract_x
_atom_site_fract_y
_atom_site_fract_z
_atom_site_occupancy
Sc1 0.532 0.061 0.846 1
Sc2 0.686 0.439 0.154 1
Sc3 0.468 0.939 0.154 1
Sc4 0.314 0.561 0.846 1
Sc5 0.946 0.867 0.671 1
Sc6 0.275 0.633 0.329 1
Sc7 0.054 0.133 0.329 1
Sc8 0.725 0.367 0.671 1
Sn1 0.870 0.750 0.000 1
Sn2 0.130 0.250 0.000 1
As1 0.500 0.000 0.500 1
As2 0.000 0.500 0.500 1

---

Entry 9:
# Sc2SnAs PBE-GGA relaxed
# energy = -5.9820 eV/atom
# energy of formation = -653 meV/atom
# spin magnetization = 0.000 μB/f.u.
# polymorph energy (0 for the lowest one) = 299.1 meV per atom
data_Sc2SnAs
_symmetry_space_group_name_H-M 'P 1'
_symmetry_Int_Tables_number 1
_symmetry_space_group_name_Hall 'P 1'
_cell_length_a 7.546
_cell_length_b 7.546
_cell_length_c 6.239
_cell_angle_alpha 52.79
_cell_angle_beta 52.79
_cell_angle_gamma 90.00
loop_
_atom_site_label
_atom_site_fract_x
_atom_site_fract_y
_atom_site_fract_z
_atom_site_occupancy
Sc1 0.597 0.125 0.250 1
Sc2 0.153 0.625 0.250 1
Sc3 0.375 0.403 0.750 1
Sc4 0.875 0.847 0.750 1
As1 0.500 0.500 0.000 1
As2 0.250 0.750 0.500 1
Sn1 0.000 0.000 0.000 1
Sn2 0.750 0.250 0.500 1

---

Entry 10:
# Sc6SnTe3As2 PBE-GGA relaxed
# energy = -6.2171 eV/atom
# spin magnetization = 0.000 μB/f.u.
data_Sc6SnTe3As2
_symmetry_space_group_name_H-M 'P 1'
_symmetry_Int_Tables_number 1
_symmetry_space_group_name_Hall 'P 1'
_cell_length_a 4.039
_cell_length_b 8.226
_cell_length_c 9.134
_cell_angle_alpha 103.60
_cell_angle_beta 102.78
_cell_angle_gamma 90.00
loop_
_atom_site_label
_atom_site_fract_x
_atom_site_fract_y
_atom_site_fract_z
_atom_site_occupancy
Sc1 0.333 0.889 0.666 1
Sc2 0.676 0.567 0.352 1
Sc3 0.667 0.111 0.334 1
Sc4 0.010 0.250 0.020 1
Sc5 0.990 0.750 0.980 1
Sc6 0.324 0.433 0.648 1
Sn1 0.500 0.000 0.000 1
Te1 0.500 0.500 0.000 1
Te2 0.836 0.167 0.672 1
Te3 0.164 0.833 0.328 1
As1 0.832 0.663 0.664 1
As2 0.168 0.337 0.336 1

---

Entry 11:
# Sc4SnTe2As PBE-GGA relaxed
# energy = -6.1134 eV/atom
# spin magnetization = 0.000 μB/f.u.
data_Sc4SnTe2As
_symmetry_space_group_name_H-M 'P 1'
_symmetry_Int_Tables_number 1
_symmetry_space_group_name_Hall 'P 1'
_cell_length_a 4.078
_cell_length_b 7.099
_cell_length_c 7.126
_cell_angle_alpha 109.16
_cell_angle_beta 90.00
_cell_angle_gamma 90.00
loop_
_atom_site_label
_atom_site_fract_x
_atom_site_fract_y
_atom_site_fract_z
_atom_site_occupancy
Sc1 0.500 0.231 0.222 1
Sc2 0.500 0.769 0.778 1
Sc3 0.000 0.246 0.769 1
Sc4 0.000 0.754 0.231 1
Sn1 0.500 0.500 0.000 1
Te1 0.500 0.000 0.500 1
Te2 0.000 0.500 0.500 1
As1 0.000 0.000 0.000 1

---

Entry 12:
# SrSc2As PBE-GGA relaxed
# energy = -4.9406 eV/atom
# energy of formation = -192 meV/atom
# spin magnetization = 1.522 μB/f.u.
data_SrSc2As
_symmetry_space_group_name_H-M 'P 1'
_symmetry_Int_Tables_number 1
_symmetry_space_group_name_Hall 'P 1'
_cell_length_a 4.558
_cell_length_b 4.567
_cell_length_c 4.697
_cell_angle_alpha 90.00
_cell_angle_beta 90.00
_cell_angle_gamma 90.00
loop_
_atom_site_label
_atom_site_fract_x
_atom_site_fract_y
_atom_site_fract_z
_atom_site_occupancy
As1 0.000 0.500 0.500 1
Sc1 0.000 0.000 0.000 1
Sc2 0.500 0.500 0.000 1
Sr1 0.500 0.000 0.500 1

---

Entry 13:
# SrSc2As PBE-GGA relaxed
# energy = -4.7497 eV/atom
# energy of formation = -1 meV/atom
# spin magnetization = 2.130 μB/f.u.
data_SrSc2As
_symmetry_space_group_name_H-M 'P 1'
_symmetry_Int_Tables_number 1
_symmetry_space_group_name_Hall 'P 1'
_cell_length_a 5.216
_cell_length_b 5.216
_cell_length_c 5.216
_cell_angle_alpha 60.00
_cell_angle_beta 60.00
_cell_angle_gamma 60.00
loop_
_atom_site_label
_atom_site_fract_x
_atom_site_fract_y
_atom_site_fract_z
_atom_site_occupancy
As1 0.500 0.500 0.500 1
Sc1 0.000 0.000 0.000 1
Sc2 0.250 0.250 0.250 1
Sr1 0.750 0.750 0.750 1

---

Entry 14:
# SrSc2As PBE-GGA relaxed
# energy = -5.2353 eV/atom
# energy of formation = -487 meV/atom
# spin magnetization = 0.000 μB/f.u.
data_SrSc2As
_symmetry_space_group_name_H-M 'P 1'
_symmetry_Int_Tables_number 1
_symmetry_space_group_name_Hall 'P 1'
_cell_length_a 9.611
_cell_length_b 9.611
_cell_length_c 9.611
_cell_angle_alpha 23.16
_cell_angle_beta 23.16
_cell_angle_gamma 23.16
loop_
_atom_site_label
_atom_site_fract_x
_atom_site_fract_y
_atom_site_fract_z
_atom_site_occupancy
As1 0.750 0.750 0.750 1
Sc1 0.031 0.031 0.031 1
Sc2 0.469 0.469 0.469 1
Sr1 0.250 0.250 0.250 1

---

Entry 15:
# SrSc2As PBE-GGA relaxed
# energy = -5.2467 eV/atom
# energy of formation = -498 meV/atom
# spin magnetization = 0.820 μB/f.u.
data_SrSc2As
_symmetry_space_group_name_H-M 'P 1'
_symmetry_Int_Tables_number 1
_symmetry_space_group_name_Hall 'P 1'
_cell_length_a 3.700
_cell_length_b 3.700
_cell_length_c 7.836
_cell_angle_alpha 90.00
_cell_angle_beta 90.00
_cell_angle_gamma 90.00
loop_
_atom_site_label
_atom_site_fract_x
_atom_site_fract_y
_atom_site_fract_z
_atom_site_occupancy
As1 0.500 0.500 0.823 1
Sc1 0.000 0.000 0.954 1
Sc2 0.500 0.500 0.185 1
Sr1 0.000 0.000 0.538 1

---

Entry 16:
# SrSc2As PBE-GGA relaxed
# energy = -4.9206 eV/atom
# energy of formation = -172 meV/atom
# spin magnetization = 0.006 μB/f.u.
data_SrSc2As
_symmetry_space_group_name_H-M 'P 1'
_symmetry_Int_Tables_number 1
_symmetry_space_group_name_Hall 'P 1'
_cell_length_a 5.964
_cell_length_b 5.964
_cell_length_c 5.964
_cell_angle_alpha 136.69
_cell_angle_beta 136.69
_cell_angle_gamma 62.92
loop_
_atom_site_label
_atom_site_fract_x
_atom_site_fract_y
_atom_site_fract_z
_atom_site_occupancy
As1 0.750 0.250 0.500 1
Sc1 0.000 0.000 0.000 1
Sc2 0.250 0.750 0.500 1
Sr1 0.500 0.500 0.000 1

---

Entry 17:
# SrSc2As PBE-GGA relaxed
# energy = -5.2119 eV/atom
# energy of formation = -463 meV/atom
# spin magnetization = 0.008 μB/f.u.
data_SrSc2As
_symmetry_space_group_name_H-M 'P 1'
_symmetry_Int_Tables_number 1
_symmetry_space_group_name_Hall 'P 1'
_cell_length_a 6.414
_cell_length_b 6.414
_cell_length_c 5.458
_cell_angle_alpha 64.83
_cell_angle_beta 64.83
_cell_angle_gamma 32.46
loop_
_atom_site_label
_atom_site_fract_x
_atom_site_fract_y
_atom_site_fract_z
_atom_site_occupancy
As1 0.750 0.750 0.750 1
Sc1 0.060 0.060 0.940 1
Sc2 0.440 0.440 0.560 1
Sr1 0.250 0.250 0.250 1

---

Entry 18:
# Sr3ScAs PBE-GGA relaxed
# energy = -3.3459 eV/atom
# energy of formation = -141 meV/atom
# spin magnetization = 1.728 μB/f.u.
# polymorph energy (0 for the lowest one) = 0.0 meV per atom
data_Sr3ScAs
_symmetry_space_group_name_H-M 'P 1'
_symmetry_Int_Tables_number 1
_symmetry_space_group_name_Hall 'P 1'
_cell_length_a 6.019
_cell_length_b 6.019
_cell_length_c 6.019
_cell_angle_alpha 90.00
_cell_angle_beta 90.00
_cell_angle_gamma 90.00
loop_
_atom_site_label
_atom_site_fract_x
_atom_site_fract_y
_atom_site_fract_z
_atom_site_occupancy
Sc1 0.500 0.500 0.500 1
Sr1 0.000 0.500 0.000 1
Sr2 0.000 0.000 0.500 1
Sr3 0.500 0.000 0.000 1
As1 0.000 0.000 0.000 1

---

Entry 19:
# SrSc2As PBE-GGA relaxed
# energy = -4.8578 eV/atom
# energy of formation = -109 meV/atom
# spin magnetization = 0.000 μB/f.u.
data_SrSc2As
_symmetry_space_group_name_H-M 'P 1'
_symmetry_Int_Tables_number 1
_symmetry_space_group_name_Hall 'P 1'
_cell_length_a 5.573
_cell_length_b 6.334
_cell_length_c 3.362
_cell_angle_alpha 75.01
_cell_angle_beta 89.12
_cell_angle_gamma 115.84
loop_
_atom_site_label
_atom_site_fract_x
_atom_site_fract_y
_atom_site_fract_z
_atom_site_occupancy
As1 0.500 0.500 0.000 1
Sc1 0.000 0.000 0.000 1
Sc2 0.500 0.000 0.500 1
Sr1 0.000 0.500 0.500 1

---

Entry 20:
# SrSc2As PBE-GGA relaxed
# energy = -4.7695 eV/atom
# energy of formation = -21 meV/atom
# spin magnetization = 0.614 μB/f.u.
data_SrSc2As
_symmetry_space_group_name_H-M 'P 1'
_symmetry_Int_Tables_number 1
_symmetry_space_group_name_Hall 'P 1'
_cell_length_a 5.112
_cell_length_b 5.112
_cell_length_c 10.424
_cell_angle_alpha 75.81
_cell_angle_beta 75.81
_cell_angle_gamma 90.00
loop_
_atom_site_label
_atom_site_fract_x
_atom_site_fract_y
_atom_site_fract_z
_atom_site_occupancy
Sc1 0.375 0.125 0.250 1
Sc2 0.375 0.625 0.250 1
Sc3 0.375 0.625 0.750 1
Sc4 0.875 0.625 0.750 1
Sr1 0.000 0.000 0.000 1
Sr2 0.750 0.250 0.500 1
As1 0.500 0.500 0.000 1
As2 0.250 0.750 0.500 1